(1)
## Mn2GaCuO6 (PBE with a Hubbard U)

Data for a relaxed structure of Mn2GaCuO6.

Cell: 5.081 5.085 5.448 Å, 62.21 89.96 60.03°
Fractional positions:
Mn1 0.000 0.000 0.000
Mn2 0.499 0.001 0.498
Ga1 0.295 0.411 0.884
Cu1 0.796 0.408 0.388
O1 0.107 0.503 0.206
O2 0.216 0.884 0.715
O3 0.390 0.902 0.206
O4 0.599 0.185 0.714
O5 0.709 0.184 0.206
O6 0.900 0.501 0.715

- Magnetization: 6.0 μB/f.u.
- Uncorrected energy: -6.49 eV/atom
- Space-group type: P1, No. 1
- DOS(E_F): 3.691 states/eV/cell



(2)
## MnGa4CuO8 (PBE with a Hubbard U)

Data for a relaxed structure of MnGa4CuO8.

Cell: 5.935 5.935 5.935 Å, 60.32 60.32 60.32°
Fractional positions:
Mn1 0.000 0.000 0.000
Ga1 0.001 0.001 0.488
Ga2 0.001 0.488 0.001
Ga3 0.488 0.001 0.001
Ga4 0.621 0.621 0.621
Cu1 0.374 0.374 0.374
O1 0.224 0.754 0.754
O2 0.233 0.233 0.785
O3 0.233 0.785 0.233
O4 0.235 0.235 0.235
O5 0.754 0.224 0.754
O6 0.754 0.754 0.224
O7 0.755 0.755 0.755
O8 0.785 0.233 0.233

- Magnetization: 1.9 μB/f.u.
- Uncorrected energy: -6.04 eV/atom
- Space-group type: R3m, No. 160
- DOS(E_F): 5.071 states/eV/cell



The highest DOS(E_F) belongs to which entry?
MnGa4CuO8